Computed, not measured: crystalline Sb2XeF12 at its relaxed geometry at the PBE level of DFT.

Unit cell a=9.727 b=7.444 c=8.298 alpha=74.60 beta=90.00 gamma=90.00
Positions (direct):
F1 0.662 0.138 0.995
F2 0.127 0.800 0.347
F3 0.707 0.866 0.836
F4 0.981 0.154 0.977
F5 0.627 0.200 0.653
F6 0.398 0.201 0.849
F7 0.481 0.846 0.023
F8 0.950 0.833 0.685
F9 0.716 0.866 0.507
F10 0.611 0.573 0.734
F11 0.858 0.527 0.573
F12 0.451 0.924 0.692
F13 0.111 0.427 0.266
F14 0.216 0.134 0.493
F15 0.207 0.134 0.164
F16 0.162 0.862 0.005
F17 0.358 0.473 0.427
F18 0.898 0.799 0.151
F19 0.450 0.167 0.315
F20 0.653 0.507 0.277
F21 0.345 0.461 0.091
F22 0.153 0.493 0.723
F23 0.951 0.076 0.308
F24 0.845 0.539 0.909
Sb1 0.050 0.956 0.150
Sb2 0.288 0.313 0.303
Sb3 0.550 0.044 0.850
Sb4 0.788 0.687 0.697
Xe1 0.291 0.692 0.711
Xe2 0.791 0.308 0.289

Total energy ... -118.982 eV/cell
DOS at the Fermi energy ... 0.0 states/eV per cell

Computed, not measured: crystalline Y2SbF at its relaxed geometry at the PBE level of DFT.

Unit cell a=7.332 b=7.332 c=6.272 alpha=54.24 beta=54.24 gamma=90.00
Positions (direct):
Sb1 0.750 0.250 0.500
Sb2 0.000 0.000 0.000
Y1 0.541 0.125 0.250
Y2 0.209 0.625 0.250
Y3 0.375 0.459 0.750
Y4 0.875 0.791 0.750
F1 0.500 0.500 0.000
F2 0.250 0.750 0.500

DOS at the Fermi energy ... 4.5 states/eV per cell
Distance to the lowest polymorph of the same formula ... 0 meV per atom

Copy entry 2 word for word.
Computed, not measured: crystalline Y2SbF at its relaxed geometry at the PBE level of DFT.

Unit cell a=7.332 b=7.332 c=6.272 alpha=54.24 beta=54.24 gamma=90.00
Positions (direct):
Sb1 0.750 0.250 0.500
Sb2 0.000 0.000 0.000
Y1 0.541 0.125 0.250
Y2 0.209 0.625 0.250
Y3 0.375 0.459 0.750
Y4 0.875 0.791 0.750
F1 0.500 0.500 0.000
F2 0.250 0.750 0.500

DOS at the Fermi energy ... 4.5 states/eV per cell
Distance to the lowest polymorph of the same formula ... 0 meV per atom